# MgTaAs

A relaxed MgTaAs crystal (PBEsol, Alexandria).

Cell lengths 3.293, 3.293, 9.866 Å; angles 90.00, 90.00, 90.00 degrees
Space group I4mm (No. 107)
Unique sites:
Mg 0.000 0.000 0.000
Ta 0.000 0.000 0.307
As 0.000 0.000 0.683

## Properties
- Polymorph energy (0 for the lowest one): 0.000 eV per atom
- Calculated volume: 107.0 Å³/cell
- Energy of formation from the pure elements: -126.7 meV/atom
- Electronic total energy: -6.585 eV per atom

=====

# Ru2WSe

A relaxed Ru2WSe crystal (PBEsol, Alexandria).

Cell lengths 4.523, 4.523, 2.889 Å; angles 90.00, 90.00, 90.00 degrees
Space group P4/mmm (No. 123)
Unique sites:
Ru 0.000 0.500 0.000
W 0.000 0.000 0.500
Se 0.500 0.500 0.500

## Properties
- Calculated volume: 59.1 Å³/cell
- Electronic total energy: -9.042 eV per atom

=====

# Sr2SeCl

A relaxed Sr2SeCl crystal (PBEsol, Alexandria).

Cell lengths 3.742, 3.742, 7.390 Å; angles 90.00, 90.00, 90.00 degrees
Space group P4/mmm (No. 123)
Unique sites:
Sr 0.000 0.000 0.236
Se 0.500 0.500 0.000
Cl 0.500 0.500 0.500

## Properties
- Polymorph energy (0 for the lowest one): 0.161 eV per atom
- Calculated volume: 103.5 Å³/cell
- Electronic total energy: -4.021 eV per atom